Compound: LaPm2Nd2Dy
Source: Alexandria via LeMat-Bulk
Functional: PBE
Structure: relaxed

Cell: 5.7981 7.1414 10.0163 Å, 90.00 90.00 90.00°
With the nearest neighbours (Å) after each atom.
Positions (direct):
La 0.0000 0.0077 0.4998  2 La 3.57, 2 Nd 3.77, 4 Dy 3.79, 6 Pm 3.80
La 0.0000 0.5077 0.5002  2 La 3.57, 2 Nd 3.77, 4 Dy 3.79, 6 Pm 3.80
Pm 0.0000 0.2573 0.8350  3 Nd 3.34-3.57, 2 Dy 3.36
Pm 0.5000 0.2579 0.3307  2 Nd 3.32, 3 Dy 3.35-3.57
Pm 0.0000 0.7573 0.1650  3 Nd 3.34-3.57, 2 Dy 3.36
Pm 0.5000 0.7579 0.6693  2 Nd 3.32, 3 Dy 3.35-3.57
Nd 0.5000 0.0075 0.0002  6 Nd 3.57-3.80, 6 Pm 3.76-3.78, 2 Dy 3.79-3.80
Nd 0.0000 0.2575 0.1687  5 Pm 3.32-3.57
Nd 0.5000 0.5075 0.9998  6 Nd 3.57-3.80, 6 Pm 3.76-3.78, 2 Dy 3.79-3.80
Nd 0.0000 0.7575 0.8313  5 Pm 3.32-3.57
Dy 0.5000 0.2577 0.6655  5 Pm 3.35-3.57
Dy 0.5000 0.7577 0.3345  5 Pm 3.35-3.57

As for the energy of formation from the pure elements: 0.052 eV/atom. Its density of states at the Fermi level is 1.49 states/eV/atom. Its space group is Pmma, No. 51. For the total energy, the calculation gives -4.709 eV per atom.



Compound: CdGaTe2Pd
Source: Alexandria via LeMat-Bulk
Functional: PBE
Structure: relaxed

Cell: 5.3883 5.1000 5.3883 Å, 90.00 90.00 90.00°
With the nearest neighbours (Å) after each atom.
Positions (direct):
Te 0.0000 0.0000 0.5000  2 Pd 2.69
Te 0.5000 0.0000 0.0000  2 Pd 2.69
Ga 0.5000 0.5000 0.5000  8 Te 3.71, 4 Cd 3.81
Pd 0.0000 0.0000 0.0000  2 Cd 2.55, 4 Te 2.69
Cd 0.0000 0.5000 0.0000  2 Pd 2.55

As for the formation energy (no corrections): 0.06 eV/atom. Its density of states at the Fermi level is 0.53 states/eV/atom. Its space group is P4/mmm, No. 123. For the total energy, the calculation gives -3.020 eV per atom.



Compound: HfPaTi2O8
Source: Alexandria via LeMat-Bulk
Functional: PBE
Structure: relaxed

Cell: 5.1028 5.1028 6.4583 Å, 113.27 113.27 90.00°
With the nearest neighbours (Å) after each atom.
Positions (direct):
Hf 0.0000 0.0000 0.0000  8 O 2.16-2.27
Pa 0.7500 0.2500 0.5000  8 O 2.26-2.37
Ti 0.5000 0.5000 0.0000  4 O 1.90
Ti 0.2500 0.7500 0.5000  4 O 1.89
O 0.7776 0.8473 0.1663  1 Ti 1.90
O 0.3887 0.3190 0.1663  1 Ti 1.90
O 0.6063 0.6640 0.6801  1 Ti 1.89
O 0.0738 0.0161 0.6801  1 Ti 1.89
O 0.9839 0.3937 0.3199  1 Ti 1.89
O 0.3360 0.9262 0.3199  1 Ti 1.89
O 0.1527 0.6113 0.8337  1 Ti 1.90
O 0.6810 0.2224 0.8337  1 Ti 1.90

As for the formation energy (no corrections): -3.24 eV/atom. Its density of states at the Fermi level is 0.50 states/eV/atom. Its space group is I-4, No. 82. For the total energy, the calculation gives -9.487 eV per atom.